1:
DFT (GGA-PBE) results for a relaxed MnTlPb crystal.

abc: 6.824 6.824 6.824
angles: 90.00 90.00 90.00
Space group F-43m (No. 216)
One atom of each set of equivalent atoms:
1 Mn 0.000 0.000 0.000 x4
2 Tl 0.250 0.250 0.750 x4
3 Pb 0.250 0.250 0.250 x4



2:
DFT (GGA-PBE) results for a relaxed MnTlPb crystal.

abc: 4.9829 4.9829 3.5833
angles: 90.00 90.00 120.00
Space group P3m1 (No. 156)
One atom of each set of equivalent atoms:
1 Mn 0.0000 0.0000 0.0000 x1
2 Tl 0.3333 0.6667 0.7999 x1
3 Pb 0.6667 0.3333 0.3304 x1



Relative calculated energies, zero for the most stable structure, unit meV per atom: 1 0; 2 82.



1:
DFT (GGA-PBE) results for a relaxed MnTlVPb2 crystal.

abc: 5.292 5.292 5.314
angles: 90.00 90.00 90.00
Space group P4/mmm (No. 123)
One atom of each set of equivalent atoms:
1 Mn 0.000 0.000 0.000 x1
2 Tl 0.500 0.500 0.000 x1
3 V 0.500 0.500 0.500 x1
4 Pb 0.000 0.500 0.500 x2



2:
DFT (GGA-PBE) results for a relaxed MnTlVPb2 crystal.

abc: 5.722 5.722 4.915
angles: 90.00 90.00 90.00
Space group P4/mmm (No. 123)
One atom of each set of equivalent atoms:
1 Mn 0.000 0.000 0.000 x1
2 Tl 0.000 0.000 0.500 x1
3 V 0.500 0.500 0.000 x1
4 Pb 0.000 0.500 0.500 x2



Relative calculated energies, zero for the most stable structure, unit meV per atom: 1 0; 2 1204.



1:
DFT (GGA-PBE) results for a relaxed MnPb3W crystal.

abc: 5.419 5.419 5.419
angles: 90.00 90.00 90.00
Space group Pm-3m (No. 221)
One atom of each set of equivalent atoms:
1 Mn 0.000 0.000 0.000 x1
2 Pb 0.000 0.500 0.500 x3
3 W 0.500 0.500 0.500 x1



2:
DFT (GGA-PBE) results for a relaxed MnPb3W crystal.

abc: 5.183 5.183 5.183
angles: 90.00 90.00 90.00
Space group Pm-3m (No. 221)
One atom of each set of equivalent atoms:
1 Mn 0.000 0.000 0.000 x1
2 Pb 0.000 0.000 0.500 x3
3 W 0.500 0.500 0.500 x1



Relative calculated energies, zero for the most stable structure, unit meV per atom: 1 0; 2 318.



1:
DFT (GGA-PBE) results for a relaxed YMnPb2 crystal.

abc: 7.115 7.115 7.115
angles: 90.00 90.00 90.00
Space group Fm-3m (No. 225)
One atom of each set of equivalent atoms:
1 Y 0.000 0.000 0.000 x4
2 Mn 0.000 0.000 0.500 x4
3 Pb 0.250 0.250 0.250 x8



2:
DFT (GGA-PBE) results for a relaxed YMnPb2 crystal.

abc: 4.463 4.463 20.828
angles: 90.00 90.00 90.00
Space group I-42d (No. 122)
One atom of each set of equivalent atoms:
1 Y 0.000 0.000 0.000 x4
2 Mn 0.000 0.000 0.500 x4
3 Pb 0.227 0.250 0.625 x8



3:
DFT (GGA-PBE) results for a relaxed YMnPb2 crystal.

abc: 3.583 3.583 8.149
angles: 90.00 90.00 90.00
Space group P4mm (No. 99)
One atom of each set of equivalent atoms:
1 Y 0.000 0.000 0.000 x1
2 Mn 0.500 0.500 0.221 x1
3 Pb 0.000 0.000 0.418 x1
4 Pb 0.500 0.500 0.721 x1



Relative calculated energies, zero for the most stable structure, unit meV per atom: 1 250; 2 502; 3 0.